Entry 1:
This record from Alexandria via LeMat-Bulk describes an optimized crystal structure of K3Sn8Pb. The functional is GGA-PBE.

Properties
- space group = R3m
- ΔH_f (0 K) (eV per atom) = -0.118
- DOS at the Fermi energy (states/eV/f.u.) = 7.544

abc: 6.5787 6.5787 10.7836
angles: 72.24 72.24 60.00
Sites, in units of the cell vectors:
K1 0.4991 0.4991 0.5027
Sn1 0.9264 0.4406 0.1924
Sn2 0.4445 0.9392 0.6771
Sn3 0.6884 0.6884 0.9348
Sn4 0.9392 0.4445 0.6771
Pb1 0.8685 0.8685 0.3944
K2 0.3757 0.3757 0.8730
Sn5 0.4406 0.9264 0.1924
K3 0.9984 0.9984 0.0048
Sn6 0.9392 0.9392 0.6771
Sn7 0.4406 0.4406 0.1924
Sn8 0.1894 0.1894 0.4317

---

Entry 2:
This record from Alexandria via LeMat-Bulk describes an optimized crystal structure of K2Sn5Pb. The functional is GGA-PBE.

Properties
- space group = Fmm2
- ΔH_f (0 K) (eV per atom) = -0.101
- DOS at the Fermi energy (states/eV/f.u.) = 3.599

abc: 6.7779 6.7779 7.7401
angles: 115.92 115.92 90.07
Sites, in units of the cell vectors:
Pb1 0.1122 0.1122 0.2246
K1 0.2219 0.7219 0.4439
Sn1 0.2504 0.6896 0.9399
Sn2 0.2505 0.2505 0.9398
Sn3 0.6895 0.6895 0.9401
K2 0.7218 0.2219 0.4439
Sn4 0.8409 0.8409 0.6820
Sn5 0.6896 0.2504 0.9399